VASP calculation (PBE) on a geometry-optimized Pr6ErTm2Th structure.

Computed properties:
DFT formation energy ... 0.14 eV/atom

Unit cell a=9.443 b=15.106 c=9.732 alpha=90.00 beta=97.80 gamma=90.00
Space group C2/c (No. 15)
Symmetry-distinct sites (fractional):
Pr (0.064, 0.173, 0.442) x8
Pr (0.094, 0.393, 0.618) x8
Pr (0.211, 0.216, 0.811) x8
Er (0.000, 0.409, 0.250) x4
Tm (0.245, 0.045, 0.052) x8
Th (0.000, 0.031, 0.750) x4

VASP calculation (PBE) on a geometry-optimized KLi3Ag4F12 structure.

Computed properties:
Formation energy without anion corrections ... -1.82 eV per atom

Unit cell a=8.193 b=8.193 c=8.193 alpha=90.00 beta=90.00 gamma=90.00
Space group Im-3 (No. 204)
Symmetry-distinct sites (fractional):
K (0.000, 0.000, 0.000) x2
Li (0.000, 0.000, 0.500) x6
Ag (0.250, 0.250, 0.250) x8
F (0.000, 0.169, 0.319) x24